# Dy4TlHg2Au

A geometry-optimized Dy4TlHg2Au structure (GGA-PBE, Alexandria).

- Formation enthalpy at 0 K: -0.535 eV/atom
- D(E_F): 6.146 states/eV/cell

Cell: 9.066 9.066 9.066 Å, 33.68 33.68 33.68°
Fractional coordinates of all 8 atoms:
Dy  0.119  0.119  0.119
Dy  0.370  0.370  0.370
Dy  0.630  0.630  0.630
Dy  0.881  0.881  0.881
Tl  0.500  0.500  0.500
Hg  0.246  0.246  0.246
Hg  0.754  0.754  0.754
Au  0.000  0.000  0.000

---

# ZrTl2P

A geometry-optimized ZrTl2P structure (GGA-PBE, Alexandria).

- Formation enthalpy at 0 K: -0.071 eV/atom
- D(E_F): 2.739 states/eV/cell

Cell: 6.247 6.247 6.247 Å, 146.78 132.11 59.53°
Fractional coordinates of all 4 atoms:
Zr  0.000  0.000  0.000
Tl  0.275  0.775  0.500
Tl  0.561  0.561  0.000
P  0.837  0.337  0.500

---

# CeDyCu2

A geometry-optimized CeDyCu2 structure (GGA-PBE, Alexandria).

- Formation enthalpy at 0 K: -0.124 eV/atom
- Energy above the most stable polymorph in this dataset: 0.03 eV per formula unit
- D(E_F): 6.223 states/eV/cell

Cell: 4.954 4.954 4.954 Å, 60.00 60.00 60.00°
Fractional coordinates of all 4 atoms:
Ce  0.000  0.000  0.000
Dy  0.500  0.500  0.500
Cu  0.250  0.250  0.250
Cu  0.750  0.750  0.750

---

# MgHBr3

A geometry-optimized MgHBr3 structure (GGA-PBE, Alexandria).

- Energy above the most stable polymorph in this dataset: 0.00 eV per formula unit
- D(E_F): 6.824 states/eV/cell

Cell: 5.282 5.282 5.282 Å, 90.00 90.00 90.00°
Fractional coordinates of all 5 atoms:
Mg  0.000  0.000  0.000
H  0.500  0.500  0.500
Br  0.000  0.000  0.500
Br  0.000  0.500  0.000
Br  0.500  0.000  0.000